# 1
A plane-wave DFT calculation with GGA-PBE was carried out for a geometry-optimized FeAg2Ge2 structure.

Cell and atoms, written as POSCAR:
```
FeAg2Ge2
1.0
-4.749 3.626 -2.103
-2.176 0.583 5.920
2.414 3.477 0.545
Fe Ag Ge
2 4 4
Direct
0.500 0.500 0.000
0.000 0.000 0.000
0.826 0.326 0.500
0.174 0.674 0.500
0.674 0.826 0.500
0.326 0.174 0.500
0.856 0.644 0.000
0.356 0.856 0.000
0.644 0.144 0.000
0.144 0.356 0.000
```

Properties
**M_tot**: 1.886 μB per formula unit
**ΔH_f (0 K)**: 0.28 eV/atom

=====

# 2
A plane-wave DFT calculation with GGA-PBE was carried out for a geometry-optimized FeAgGe2 structure.

Cell and atoms, written as POSCAR:
```
FeAgGe2
1.0
-1.128 1.142 -3.771
-2.578 -3.180 -0.192
-7.945 3.723 1.277
Ag Fe Ge
2 2 4
Direct
0.000 0.000 0.000
0.750 0.250 0.500
0.500 0.500 0.000
0.250 0.750 0.500
0.166 0.625 0.250
0.375 0.416 0.750
0.584 0.125 0.250
0.875 0.834 0.750
```

Properties
**Energy relative to the lowest polymorph listed for this composition**: 0.91 eV/f.u.
**M_tot**: 2.415 μB per formula unit
**ΔH_f (0 K)**: 0.33 eV/atom

=====

# 3
A plane-wave DFT calculation with GGA-PBE was carried out for a geometry-optimized FeAgGe2 structure.

Cell and atoms, written as POSCAR:
```
FeAgGe2
1.0
2.951 0.000 0.000
1.475 2.555 0.000
1.475 0.852 8.666
Ag Fe Ge
1 1 2
Direct
0.000 0.000 0.000
0.500 0.500 0.500
0.900 0.900 0.299
0.100 0.100 0.701
```

Properties
**Energy relative to the lowest polymorph listed for this composition**: 0.00 eV/f.u.
**M_tot**: 0.490 μB per formula unit
**ΔH_f (0 K)**: 0.10 eV/atom

=====

# 4
A plane-wave DFT calculation with GGA-PBE was carried out for a geometry-optimized FeAg3Ge structure.

Cell and atoms, written as POSCAR:
```
FeAg3Ge
1.0
4.834 0.000 0.000
0.000 4.834 0.000
0.000 0.000 4.834
Ag Ge Fe
3 1 1
Direct
0.500 0.000 0.000
0.000 0.500 0.000
0.000 0.000 0.500
0.000 0.000 0.000
0.500 0.500 0.500
```

Properties
**Energy relative to the lowest polymorph listed for this composition**: 0.00 eV/f.u.
**M_tot**: 3.469 μB per formula unit
**ΔH_f (0 K)**: 0.93 eV/atom

=====

# 5
A plane-wave DFT calculation with GGA-PBE was carried out for a geometry-optimized MgFeAg2Ge structure.

Cell and atoms, written as POSCAR:
```
MgFeAg2Ge
1.0
4.838 0.000 0.000
0.000 4.565 0.000
0.000 0.000 4.838
Ag Mg Fe Ge
2 1 1 1
Direct
0.000 0.000 0.500
0.500 0.000 0.000
0.500 0.500 0.500
0.000 0.500 0.000
0.000 0.000 0.000
```

Properties
**M_tot**: 2.442 μB per formula unit
**ΔH_f (0 K)**: 0.49 eV/atom

=====

# 6
A plane-wave DFT calculation with GGA-PBE was carried out for a geometry-optimized Fe2AgGeMo structure.

Cell and atoms, written as POSCAR:
```
Fe2AgGeMo
1.0
-3.730 2.355 1.157
-2.398 -1.942 -3.778
-1.363 -3.457 2.643
Ge Ag Mo Fe
1 1 1 2
Direct
0.000 0.500 0.000
0.500 0.500 0.500
0.000 0.000 0.000
0.000 0.000 0.500
0.500 0.000 0.000
```

Properties
**M_tot**: 4.275 μB per formula unit
**ΔH_f (0 K)**: 1.21 eV/atom

=====

# 7
A plane-wave DFT calculation with GGA-PBE was carried out for a geometry-optimized FeAg2GePt structure.

Cell and atoms, written as POSCAR:
```
FeAg2GePt
1.0
-2.087 4.188 -1.030
0.189 -1.020 -4.531
-4.308 -2.077 0.288
Ag Ge Fe Pt
2 1 1 1
Direct
0.500 0.000 0.000
0.000 0.000 0.500
0.500 0.500 0.500
0.000 0.000 0.000
0.000 0.500 0.000
```

Properties
**M_tot**: 3.316 μB per formula unit
**ΔH_f (0 K)**: 0.91 eV/atom

=====

# 8
A plane-wave DFT calculation with GGA-PBE was carried out for a geometry-optimized Rb2FeAgGe structure.

Cell and atoms, written as POSCAR:
```
Rb2FeAgGe
1.0
-4.572 5.087 0.498
-1.182 -0.609 -4.629
-4.826 -4.517 1.826
Ag Ge Rb Fe
1 1 2 1
Direct
0.000 0.500 0.000
0.000 0.000 0.000
0.500 0.000 0.000
0.000 0.000 0.500
0.500 0.500 0.500
```

Properties
**M_tot**: 3.738 μB per formula unit
**ΔH_f (0 K)**: 0.87 eV/atom

=====

# 9
A plane-wave DFT calculation with GGA-PBE was carried out for a geometry-optimized Fe2AgGeRh structure.

Cell and atoms, written as POSCAR:
```
Fe2AgGeRh
1.0
-4.175 1.496 -1.576
-1.812 -0.687 4.146
1.119 4.407 1.219
Fe Ag Ge Rh
2 1 1 1
Direct
0.500 0.000 0.000
0.000 0.000 0.500
0.000 0.000 0.000
0.000 0.500 0.000
0.500 0.500 0.500
```

Properties
**M_tot**: 7.220 μB per formula unit
**ΔH_f (0 K)**: 1.49 eV/atom

=====

# 10
A plane-wave DFT calculation with GGA-PBE was carried out for a geometry-optimized FeAgGe2S structure.

Cell and atoms, written as POSCAR:
```
FeAgGe2S
1.0
4.769 0.000 0.000
0.000 4.221 0.000
0.000 0.000 4.769
S Ag Ge Fe
1 1 2 1
Direct
0.000 0.500 0.000
0.500 0.500 0.500
0.500 0.000 0.000
0.000 0.000 0.500
0.000 0.000 0.000
```

Properties
**Formation energy without anion corrections**: 333 meV per atom
**M_tot**: 1.284 μB per formula unit

=====

# 11
A plane-wave DFT calculation with GGA-PBE was carried out for a geometry-optimized FeAgGe2Te structure.

Cell and atoms, written as POSCAR:
```
FeAgGe2Te
1.0
5.495 0.000 0.000
0.000 4.676 0.000
0.000 0.000 5.495
Ge Te Ag Fe
2 1 1 1
Direct
0.500 0.000 0.000
0.000 0.000 0.500
0.000 0.000 0.000
0.500 0.500 0.500
0.000 0.500 0.000
```

Properties
**Formation energy without anion corrections**: 1129 meV per atom
**M_tot**: 2.207 μB per formula unit

=====

# 12
A plane-wave DFT calculation with GGA-PBE was carried out for a geometry-optimized VFeAgGe2 structure.

Cell and atoms, written as POSCAR:
```
VFeAgGe2
1.0
4.690 0.000 0.000
0.000 5.057 0.000
0.000 0.000 4.690
Fe V Ag Ge
1 1 1 2
Direct
0.500 0.500 0.500
0.000 0.000 0.000
0.000 0.500 0.000
0.500 0.000 0.000
0.000 0.000 0.500
```

Properties
**M_tot**: 4.710 μB per formula unit
**ΔH_f (0 K)**: 1.03 eV/atom

=====

# 13
A plane-wave DFT calculation with GGA-PBE was carried out for a geometry-optimized FeAgH structure.

Cell and atoms, written as POSCAR:
```
FeAgH
1.0
-0.166 -2.773 0.775
2.015 -0.610 -1.751
5.896 1.321 5.992
H Fe Ag
2 2 2
Direct
0.750 0.217 0.792
0.250 0.783 0.208
0.250 0.300 0.091
0.750 0.700 0.909
0.250 0.237 0.629
0.750 0.763 0.371
```

Properties
**M_tot**: 2.303 μB per formula unit
**DFT total energy**: -27.865 eV/cell

=====

# 14
A plane-wave DFT calculation with GGA-PBE was carried out for a geometry-optimized Fe2AgH2 structure.

Cell and atoms, written as POSCAR:
```
Fe2AgH2
1.0
6.029 0.000 0.000
0.000 6.029 0.000
0.000 0.000 2.634
Ag Fe H
2 4 4
Direct
0.000 0.000 0.000
0.500 0.500 0.000
0.368 0.132 0.500
0.632 0.868 0.500
0.868 0.368 0.500
0.132 0.632 0.500
0.109 0.391 0.000
0.891 0.609 0.000
0.609 0.109 0.000
0.391 0.891 0.000
```

Properties
**Energy relative to the lowest polymorph listed for this composition**: 1.13 eV/f.u.
**M_tot**: 4.380 μB per formula unit

=====

# 15
A plane-wave DFT calculation with GGA-PBE was carried out for a geometry-optimized Fe2AgH2 structure.

Cell and atoms, written as POSCAR:
```
Fe2AgH2
1.0
3.420 0.000 0.000
0.000 3.420 0.000
1.710 1.710 4.441
H Ag Fe
2 1 2
Direct
0.321 0.321 0.357
0.679 0.679 0.643
0.000 0.000 0.000
0.750 0.250 0.500
0.250 0.750 0.500
```

Properties
**Energy relative to the lowest polymorph listed for this composition**: 0.00 eV/f.u.
**M_tot**: 4.769 μB per formula unit

=====

# 16
A plane-wave DFT calculation with GGA-PBE was carried out for a geometry-optimized FeAgH2 structure.

Cell and atoms, written as POSCAR:
```
FeAgH2
1.0
0.000 2.657 2.657
2.657 0.000 2.657
2.657 2.657 0.000
Fe H Ag
1 2 1
Direct
0.000 0.000 0.000
0.750 0.750 0.750
0.250 0.250 0.250
0.500 0.500 0.500
```

Properties
**Energy relative to the lowest polymorph listed for this composition**: 2.23 eV/f.u.
**M_tot**: 2.937 μB per formula unit

=====

# 17
A plane-wave DFT calculation with GGA-PBE was carried out for a geometry-optimized FeAgH2 structure.

Cell and atoms, written as POSCAR:
```
FeAgH2
1.0
2.781 0.000 0.000
1.390 2.408 0.000
1.390 0.803 5.260
Ag H Fe
1 2 1
Direct
0.495 0.495 0.514
0.045 0.045 0.866
0.290 0.290 0.130
0.670 0.670 0.991
```

Properties
**Energy relative to the lowest polymorph listed for this composition**: 0.09 eV/f.u.
**M_tot**: 1.761 μB per formula unit

=====

# 18
A plane-wave DFT calculation with GGA-PBE was carried out for a geometry-optimized FeAgH2 structure.

Cell and atoms, written as POSCAR:
```
FeAgH2
1.0
-1.281 -1.964 -1.558
1.006 -2.628 -0.057
-3.084 -2.763 3.475
H Ag Fe
2 1 1
Direct
0.874 0.874 0.379
0.126 0.126 0.621
0.000 0.000 0.000
0.500 0.500 0.500
```

Properties
**Energy relative to the lowest polymorph listed for this composition**: 0.00 eV/f.u.
**M_tot**: 1.757 μB per formula unit

=====

# 19
A plane-wave DFT calculation with GGA-PBE was carried out for a geometry-optimized FeAgH2 structure.

Cell and atoms, written as POSCAR:
```
FeAgH2
1.0
-4.250 0.430 0.476
0.268 -1.709 3.934
-1.438 3.081 3.784
H Ag Fe
4 2 2
Direct
0.564 0.125 0.250
0.875 0.814 0.750
0.186 0.625 0.250
0.375 0.436 0.750
0.750 0.250 0.500
0.000 0.000 0.000
0.500 0.500 0.000
0.250 0.750 0.500
```

Properties
**Energy relative to the lowest polymorph listed for this composition**: 0.48 eV/f.u.
**M_tot**: 2.591 μB per formula unit

=====

# 20
A plane-wave DFT calculation with GGA-PBE was carried out for a geometry-optimized Fe2AgHIr structure.

Cell and atoms, written as POSCAR:
```
Fe2AgHIr
1.0
-3.055 2.730 2.095
-1.549 0.452 -2.848
-2.665 -3.649 0.870
H Ir Fe Ag
1 1 2 1
Direct
0.000 0.500 0.000
0.000 0.000 0.000
0.500 0.000 0.000
0.000 0.000 0.500
0.500 0.500 0.500
```

Properties
**M_tot**: 0.131 μB per formula unit
**DFT total energy**: -26.492 eV/cell

=====

# 21
A plane-wave DFT calculation with GGA-PBE was carried out for a geometry-optimized K2FeAgH structure.

Cell and atoms, written as POSCAR:
```
K2FeAgH
1.0
-2.141 -4.171 4.140
4.586 -0.278 2.091
-1.499 4.648 3.907
Fe K Ag H
1 2 1 1
Direct
0.000 0.000 0.000
0.000 0.000 0.500
0.500 0.000 0.000
0.000 0.500 0.000
0.500 0.500 0.500
```

Properties
**M_tot**: 3.187 μB per formula unit
**DFT total energy**: -12.507 eV/cell

=====

# 22
A plane-wave DFT calculation with GGA-PBE was carried out for a geometry-optimized KFeAgH2 structure.

Cell and atoms, written as POSCAR:
```
KFeAgH2
1.0
4.114 0.000 0.000
0.000 6.417 0.000
0.000 0.000 4.114
H K Ag Fe
2 1 1 1
Direct
0.000 0.000 0.500
0.500 0.000 0.000
0.000 0.000 0.000
0.500 0.500 0.500
0.000 0.500 0.000
```

Properties
**M_tot**: 4.005 μB per formula unit
**DFT total energy**: -12.105 eV/cell

=====

# 23
A plane-wave DFT calculation with GGA-PBE was carried out for a geometry-optimized LiFeAg2H structure.

Cell and atoms, written as POSCAR:
```
LiFeAg2H
1.0
4.557 0.000 0.000
0.000 3.165 0.000
0.000 0.000 4.557
Ag Li H Fe
2 1 1 1
Direct
0.000 0.000 0.500
0.500 0.000 0.000
0.500 0.500 0.500
0.000 0.000 0.000
0.000 0.500 0.000
```

Properties
**M_tot**: 2.267 μB per formula unit
**DFT total energy**: -18.564 eV/cell

=====

# 24
A plane-wave DFT calculation with GGA-PBE was carried out for a geometry-optimized Mg2FeAgH structure.

Cell and atoms, written as POSCAR:
```
Mg2FeAgH
1.0
4.435 0.000 0.000
0.000 4.435 0.000
0.000 0.000 3.494
Ag Fe Mg H
1 1 2 1
Direct
0.500 0.500 0.500
0.000 0.000 0.500
0.000 0.500 0.000
0.500 0.000 0.000
0.000 0.000 0.000
```

Properties
**M_tot**: 2.314 μB per formula unit
**DFT total energy**: -17.795 eV/cell

=====

# 25
A plane-wave DFT calculation with GGA-PBE was carried out for a geometry-optimized FeAgMoH2 structure.

Cell and atoms, written as POSCAR:
```
FeAgMoH2
1.0
-2.223 2.268 -1.249
-3.577 -4.211 -1.281
-1.440 0.286 3.081
Mo H Ag Fe
1 2 1 1
Direct
0.000 0.500 0.000
0.000 0.000 0.500
0.500 0.000 0.000
0.000 0.000 0.000
0.500 0.500 0.500
```

Properties
**M_tot**: 1.041 μB per formula unit
**DFT total energy**: -23.604 eV/cell

=====

# 26
A plane-wave DFT calculation with GGA-PBE was carried out for a geometry-optimized Fe2AgHN structure.

Cell and atoms, written as POSCAR:
```
Fe2AgHN
1.0
4.967 0.000 0.000
0.000 3.788 0.000
0.000 0.000 4.967
Fe H N Ag
2 1 1 1
Direct
0.500 0.000 0.000
0.000 0.000 0.500
0.500 0.500 0.500
0.000 0.500 0.000
0.000 0.000 0.000
```

Properties
**Energy relative to the lowest polymorph listed for this composition**: 5.87 eV/f.u.
**M_tot**: 6.967 μB per formula unit

=====

# 27
A plane-wave DFT calculation with GGA-PBE was carried out for a geometry-optimized Fe2AgHN structure.

Cell and atoms, written as POSCAR:
```
Fe2AgHN
1.0
-1.669 -2.809 1.410
1.742 0.859 3.772
-2.783 2.062 0.816
N Fe H Ag
1 2 1 1
Direct
0.500 0.500 0.500
0.000 0.000 0.500
0.500 0.000 0.000
0.000 0.000 0.000
0.000 0.500 0.000
```

Properties
**Energy relative to the lowest polymorph listed for this composition**: 0.00 eV/f.u.
**M_tot**: 6.285 μB per formula unit

=====

# 28
A plane-wave DFT calculation with GGA-PBE was carried out for a geometry-optimized Na2FeAgH6 structure.

Cell and atoms, written as POSCAR:
```
Na2FeAgH6
1.0
-3.075 0.923 4.000
-4.079 -0.124 -3.107
-3.905 -3.159 1.017
Na H Fe Ag
2 6 1 1
Direct
0.250 0.750 0.500
0.750 0.250 0.500
0.775 0.225 0.000
0.225 0.775 0.000
0.225 0.225 0.550
0.776 0.776 0.000
0.775 0.775 0.450
0.224 0.224 0.000
0.000 0.000 0.000
0.500 0.500 0.000
```

Properties
**M_tot**: 1.066 μB per formula unit
**DFT total energy**: -34.254 eV/cell

=====

Results for DOS(E_F): 0.569; 0.795; 0.397; 0.638; 0.643; 1.301; 0.921; 1.859; 0.892; 0.679; 1.360; 0.909; 0.426; 0.510; 0.503; 0.947; 0.576; 0.531; 0.534; 1.287; 0.492; 1.176; 0.558; 0.670; 0.767; 1.463; 0.755; 0.985 (in states/eV per atom, following the order of the records).
Results for density: 8084; 7292; 7851; 6647; 5729; 6353; 8393; 2987; 6470; 5901; 5134; 5373; 8143; 7686; 7082; 7335; 7813; 7779; 7304; 9890; 2043; 3131; 7061; 5154; 6578; 4168; 7249; 3762 (in kg/m3, following the order of the records).